## NiRu2Pt (PBEsol)

Data for an optimized crystal structure of NiRu2Pt.

Cell: 2.663 2.663 7.360 Å, 90.00 90.00 90.00°
Space group P4mm (No. 99)
Asymmetric unit:
Ni  0.000  0.000  0.000 (multiplicity 1)
Ru  0.000  0.000  0.518 (multiplicity 1)
Ru  0.500  0.500  0.762 (multiplicity 1)
Pt  0.500  0.500  0.249 (multiplicity 1)

Energy ... -8.35 eV per atom